Density functional theory data (GGA+U) for Ca3Si3W2O12 after structural relaxation.

Electronic total energy in eV for the cell shown: -1202.10
Theoretical density in g cm⁻³: 5.2

CIF file:
```
data_Ca3Si3W2O12
_chemical_formula_sum 'Ca24 Si24 W16 O96'
_symmetry_space_group_name_H-M 'I a -3 d'
_symmetry_Int_Tables_number 230
_symmetry_space_group_name_Hall '-I 4bd 2c 3'
_cell_length_a 12.474
_cell_length_b 12.474
_cell_length_c 12.474
_cell_angle_alpha 90.00
_cell_angle_beta 90.00
_cell_angle_gamma 90.00
loop_
_atom_site_label
_atom_site_type_symbol
_atom_site_fract_x
_atom_site_fract_y
_atom_site_fract_z
Ca1 Ca 0.000 0.250 0.125
Si1 Si 0.000 0.250 0.375
W1 W 0.000 0.000 0.000
O1 O 0.041 0.052 0.661
```